Entry from the Alexandria database: a relaxed structure of Sr2Zn6Ru (PBE).

The space group is P-3m1 (No. 164) and the conventional cell measures 6.0584, 6.0584 and 5.8312 Å, with angles of 90.00, 90.00 and 120.00 degrees. The inequivalent atoms are Sr at (0.3333, 0.6667, 0.1538), Zn at (0.1675, 0.3351, 0.6738) and Ru at (0.0000, 0.0000, 0.0000).

The calculation puts the total DFT energy (no corrections) at -2.40 eV per atom. The calculation puts the density of states at the Fermi level at 0.549 states/eV/atom.

Entry from the Alexandria database: a relaxed structure of Zr2As3 (PBE).

The space group is R-3m (No. 166, hexagonal axes) and the conventional cell measures 3.7257, 3.7257 and 27.1265 Å, with angles of 90.00, 90.00 and 120.00 degrees. The inequivalent atoms are Zr at (0.0000, 0.0000, 0.1054), As at (0.0000, 0.0000, 0.2909) and As at (0.0000, 0.0000, 0.5000).

The calculation puts the total DFT energy (no corrections) at -6.88 eV per atom. For the offset from the most stable computed form, the calculation gives 0.0068 eV per atom. The calculation puts the density of states at the Fermi level at 0.509 states/eV/atom.

Entry from the Alexandria database: a relaxed structure of Hf12Bi6C (PBE).

The space group is R-3 (No. 148, hexagonal axes) and the conventional cell measures 12.2813, 12.2813 and 10.7191 Å, with angles of 90.00, 90.00 and 120.00 degrees. The inequivalent atoms are Hf at (0.0306, 0.8724, 0.3734), Hf at (0.0635, 0.8963, 0.8747), Bi at (0.0288, 0.6248, 0.3068) and C at (0.0000, 0.0000, 0.0000).

The calculation puts the total DFT energy (no corrections) at -8.00 eV per atom. The calculation puts the density of states at the Fermi level at 1.010 states/eV/atom.